1.
Ca6Ag5Pd | PBE | relaxed

The structure in POSCAR format:
```
Ca6Ag5Pd
1.0
5.0860 0.0021 -1.0596
-0.0033 7.4625 -0.0008
-0.9569 0.0004 8.1001
Ca Pd Ag
6 1 5
Cartesian
3.6149 5.6308 4.5757 Ca
3.6166 1.8358 4.5761 Ca
2.5422 1.8005 -0.5300 Ca
2.5405 5.6641 -0.5304 Ca
0.5092 5.6293 2.4636 Ca
0.5109 1.8342 2.4640 Ca
0.0000 0.0000 0.0000 Pd
3.0663 3.7328 2.0147 Ag
1.0506 7.4634 4.9918 Ag
-0.0016 3.7312 -0.0004 Ag
3.0752 0.0016 2.0479 Ag
1.0596 3.7322 5.0250 Ag
```

## Properties
**Formation energy**: -0.375 eV per atom
**Space group**: P2/m, No. 10



2.
LiUPbSe3 | PBE | relaxed

The structure in POSCAR format:
```
LiUPbSe3
1.0
-2.1650 1.9316 -2.9488
-0.8914 -7.5306 -4.2785
-7.2310 0.1910 5.4341
Li U Pb Se
2 2 2 6
Cartesian
-4.8438 -0.0337 2.0833 Li
-5.4435 -5.3743 -3.8766 Li
-2.2896 -4.5226 -2.7324 U
-7.9977 -0.8854 0.9392 U
-2.4281 -0.8717 -0.2392 Pb
-7.8593 -4.5363 -1.5540 Pb
-3.3540 -5.2537 -5.3317 Se
-6.9334 -0.1543 3.5385 Se
-4.7570 -5.3121 -1.4380 Se
-5.5303 -0.0959 -0.3552 Se
-3.2355 -1.8153 -3.1663 Se
-7.0519 -3.5927 1.3731 Se
```

## Properties
**Energy relative to the elements, uncorrected**: -898 meV per atom
**Space group**: P2_1/m, No. 11



3.
Tl2HgAuCl6 | PBE | relaxed

The structure in POSCAR format:
```
Tl2HgAuCl6
1.0
7.2252 0.0060 -0.0193
-0.0137 8.1748 1.0553
3.5820 4.8048 5.9928
Tl Hg Au Cl
2 1 1 6
Cartesian
7.2070 4.1790 2.8218 Tl
3.5866 8.8068 4.2070 Tl
0.0000 0.0000 0.0000 Hg
3.6058 4.0904 0.5180 Au
3.5733 5.4316 3.7330 Cl
8.9350 10.5709 6.1080 Cl
5.4619 10.5936 6.1035 Cl
5.3317 2.3922 0.9253 Cl
1.8585 2.4148 0.9209 Cl
7.2202 7.5541 3.2959 Cl
```

## Properties
**Energy relative to the elements, uncorrected**: -663 meV per atom
**Space group**: P-1, No. 2



4.
BiSbPd6 | PBE | relaxed

The structure in POSCAR format:
```
BiSbPd6
1.0
4.6890 0.5835 0.0068
0.9341 4.6319 0.0068
1.6549 1.5349 7.2326
Bi Sb Pd
1 1 6
Cartesian
0.0000 0.0000 0.0000 Bi
3.6390 3.3751 3.6231 Sb
1.3001 3.0264 2.2242 Pd
3.1155 1.0691 2.2242 Pd
4.1624 5.6812 5.0219 Pd
5.9778 3.7238 5.0219 Pd
3.5739 3.3148 6.7247 Pd
3.7040 3.4354 0.5214 Pd
```

## Properties
**Energy relative to the elements, uncorrected**: -190 meV per atom
**ΔE to the lowest computed polymorph**: 10.0 kJ per mole of atoms
**Space group**: C2/m, No. 12



no.,total energy (eV per atom),DOS(E_F) (states/eV per atom)
1,-3.00,0.65
2,-5.46,0.87
3,-2.60,0.23
4,-5.09,0.39